# 1
# HfIrSe2Br | the Alexandria database | PBE | optimized geometry
data_HfIrSe2Br
_space_group_name_H-M_alt 'P 4/m m m'
_space_group_IT_number 123
_space_group_name_Hall '-P 4 2'
_cell_length_a 5.186
_cell_length_b 5.186
_cell_length_c 5.091
_cell_angle_alpha 90.00
_cell_angle_beta 90.00
_cell_angle_gamma 90.00
loop_
_atom_site_label
_atom_site_type_symbol
_atom_site_fract_x
_atom_site_fract_y
_atom_site_fract_z
Hf1 Hf 0.000 0.000 0.000
Ir1 Ir 0.500 0.500 0.500
Se1 Se 0.000 0.500 0.000
Br1 Br 0.000 0.000 0.500
# Uncorrected formation energy = 0.5261 eV/atom
# Energy = -4.965 eV/atom
# Total magnetic moment = 2.57 Bohr magnetons per cell


# 2
# HfTc2IrBr | the Alexandria database | PBE | optimized geometry
data_HfTc2IrBr
_space_group_name_H-M_alt 'P 4/m m m'
_space_group_IT_number 123
_space_group_name_Hall '-P 4 2'
_cell_length_a 4.789
_cell_length_b 4.789
_cell_length_c 5.088
_cell_angle_alpha 90.00
_cell_angle_beta 90.00
_cell_angle_gamma 90.00
loop_
_atom_site_label
_atom_site_type_symbol
_atom_site_fract_x
_atom_site_fract_y
_atom_site_fract_z
Hf1 Hf 0.000 0.000 0.000
Tc1 Tc 0.000 0.500 0.500
Ir1 Ir 0.000 0.000 0.500
Br1 Br 0.500 0.500 0.000
# Uncorrected formation energy = 1.1662 eV/atom
# Energy = -7.078 eV/atom
# Total magnetic moment = 2.54 Bohr magnetons per cell


# 3
# KHf2Br8 | the Alexandria database | PBE | optimized geometry
data_KHf2Br8
_space_group_name_H-M_alt 'C 1 2/m 1'
_space_group_IT_number 12
_cell_length_a 14.563
_cell_length_b 8.787
_cell_length_c 8.225
_cell_angle_alpha 90.00
_cell_angle_beta 103.00
_cell_angle_gamma 90.00
loop_
_space_group_symop_operation_xyz
'x,y,z'
'-x,-y,-z'
'-x,y,-z'
'x,-y,z'
'x+1/2,y+1/2,z'
'-x+1/2,-y+1/2,-z'
'-x+1/2,y+1/2,-z'
'x+1/2,-y+1/2,z'
loop_
_atom_site_label
_atom_site_type_symbol
_atom_site_fract_x
_atom_site_fract_y
_atom_site_fract_z
K1 K 0.000 0.000 0.000
Hf1 Hf 0.200 0.000 0.679
Br1 Br 0.121 0.223 0.780
Br2 Br 0.128 0.500 0.197
Br3 Br 0.172 0.000 0.368
# Uncorrected formation energy = -1.2823 eV/atom
# Energy = -4.408 eV/atom
# Total magnetic moment = 2.06 Bohr magnetons per cell


# 4
# KHfBr3 | the Alexandria database | PBE | optimized geometry
data_KHfBr3
_space_group_name_H-M_alt 'P m -3 m'
_space_group_IT_number 221
_space_group_name_Hall '-P 4 2 3'
_cell_length_a 5.364
_cell_length_b 5.364
_cell_length_c 5.364
_cell_angle_alpha 90.00
_cell_angle_beta 90.00
_cell_angle_gamma 90.00
loop_
_atom_site_label
_atom_site_type_symbol
_atom_site_fract_x
_atom_site_fract_y
_atom_site_fract_z
K1 K 0.000 0.000 0.000
Hf1 Hf 0.500 0.500 0.500
Br1 Br 0.000 0.500 0.500
# Uncorrected formation energy = -0.9845 eV/atom
# Energy = -4.198 eV/atom
# Total magnetic moment = 0.52 Bohr magnetons per cell


# 5
# KHf2Br | the Alexandria database | PBE | optimized geometry
data_KHf2Br
_space_group_name_H-M_alt 'F m -3 m'
_space_group_IT_number 225
_space_group_name_Hall '-F 4 2 3'
_cell_length_a 7.432
_cell_length_b 7.432
_cell_length_c 7.432
_cell_angle_alpha 90.00
_cell_angle_beta 90.00
_cell_angle_gamma 90.00
loop_
_atom_site_label
_atom_site_type_symbol
_atom_site_fract_x
_atom_site_fract_y
_atom_site_fract_z
K1 K 0.000 0.000 0.000
Hf1 Hf 0.250 0.250 0.250
Br1 Br 0.000 0.000 0.500
# Uncorrected formation energy = 1.2031 eV/atom
# Energy = -4.466 eV/atom
# Total magnetic moment = 0.00 Bohr magnetons per cell


# 6
# KHf2Br | the Alexandria database | PBE | optimized geometry
data_KHf2Br
_space_group_name_H-M_alt 'I -4 2 d'
_space_group_IT_number 122
_space_group_name_Hall 'I -4 2bw'
_cell_length_a 4.158
_cell_length_b 4.158
_cell_length_c 28.006
_cell_angle_alpha 90.00
_cell_angle_beta 90.00
_cell_angle_gamma 90.00
loop_
_atom_site_label
_atom_site_type_symbol
_atom_site_fract_x
_atom_site_fract_y
_atom_site_fract_z
K1 K 0.000 0.000 0.000
Hf1 Hf 0.248 0.250 0.625
Br1 Br 0.000 0.000 0.500
# Uncorrected formation energy = 0.4700 eV/atom
# Energy = -5.199 eV/atom
# Total magnetic moment = 0.00 Bohr magnetons per cell